1.
First-principles (PBE) data for crystalline Gd2FeSiBr2 at its relaxed geometry, as listed in OQMD via LeMat-Bulk.

Unit cell a=3.9933 b=3.9933 c=11.2779 alpha=90.00 beta=90.00 gamma=120.00
Space group P3m1 (No. 156)
Asymmetric unit:
Gd: 0.0000 0.0000 0.0000 [1 per cell]
Gd: 0.0000 0.0000 0.3391 [1 per cell]
Fe: 0.3333 0.6667 0.1693 [1 per cell]
Si: 0.6667 0.3333 0.1720 [1 per cell]
Br: 0.3333 0.6667 0.5085 [1 per cell]
Br: 0.6667 0.3333 0.8316 [1 per cell]

Results
**Total DFT energy (no corrections)**: -33.37 eV per formula unit
**Crystal system**: trigonal



2.
First-principles (PBE) data for crystalline Lu2SiO4 at its relaxed geometry, as listed in OQMD via LeMat-Bulk.

Unit cell a=6.394 b=5.448 c=9.576 alpha=90.00 beta=90.00 gamma=90.00
Space group Pnma (No. 62)
Asymmetric unit:
Lu: 0.029 0.250 0.189 [4 per cell]
Lu: 0.107 0.250 0.544 [4 per cell]
Si: 0.160 0.250 0.835 [4 per cell]
O: 0.041 0.750 0.051 [4 per cell]
O: 0.159 0.750 0.622 [4 per cell]
O: 0.186 0.504 0.371 [8 per cell]

Results
**Total DFT energy (no corrections)**: -54.72 eV per formula unit
**Crystal system**: orthorhombic



3.
First-principles (PBE) data for crystalline Pm2TlPt2 at its relaxed geometry, as listed in OQMD via LeMat-Bulk.

Unit cell a=7.988 b=7.988 c=3.738 alpha=90.00 beta=90.00 gamma=90.00
Space group P4/mbm (No. 127)
Asymmetric unit:
Pm: 0.172 0.328 0.000 [4 per cell]
Tl: 0.000 0.000 0.500 [2 per cell]
Pt: 0.127 0.627 0.500 [4 per cell]

Results
**Total DFT energy (no corrections)**: -28.76 eV per formula unit
**Crystal system**: tetragonal



4.
First-principles (PBE) data for crystalline HoLu2Se3 at its relaxed geometry, as listed in OQMD via LeMat-Bulk.

Unit cell a=3.9842 b=3.9842 c=9.8628 alpha=90.00 beta=90.00 gamma=120.00
Space group P-3m1 (No. 164)
Asymmetric unit:
Ho: 0.0000 0.0000 0.0000 [1 per cell]
Lu: 0.3333 0.6667 0.6664 [2 per cell]
Se: 0.0000 0.0000 0.5000 [1 per cell]
Se: 0.3333 0.6667 0.1720 [2 per cell]

Results
**Total DFT energy (no corrections)**: -33.87 eV per formula unit
**Crystal system**: trigonal



5.
First-principles (PBE) data for crystalline Nb2GePd at its relaxed geometry, as listed in OQMD via LeMat-Bulk.

Unit cell a=6.465 b=6.465 c=6.465 alpha=90.00 beta=90.00 gamma=90.00
Space group F-43m (No. 216)
Asymmetric unit:
Nb: 0.000 0.000 0.000 [4 per cell]
Nb: 0.250 0.250 0.250 [4 per cell]
Ge: 0.000 0.000 0.500 [4 per cell]
Pd: 0.250 0.250 0.750 [4 per cell]

Results
**Total DFT energy (no corrections)**: -29.91 eV per formula unit
**Crystal system**: cubic



6.
First-principles (PBE) data for crystalline LiTaCdPd at its relaxed geometry, as listed in OQMD via LeMat-Bulk.

Unit cell a=6.431 b=6.431 c=6.431 alpha=90.00 beta=90.00 gamma=90.00
Space group F-43m (No. 216)
Asymmetric unit:
Li: 0.000 0.000 0.000 [4 per cell]
Ta: 0.000 0.000 0.500 [4 per cell]
Cd: 0.250 0.250 0.750 [4 per cell]
Pd: 0.250 0.250 0.250 [4 per cell]

Results
**Polymorph energy (0 for the lowest one)**: 99 meV/atom
**Total DFT energy (no corrections)**: -19.67 eV per formula unit
**Crystal system**: cubic



7.
First-principles (PBE) data for crystalline Pr2Cd4PdAu at its relaxed geometry, as listed in OQMD via LeMat-Bulk.

Unit cell a=8.372 b=4.410 c=10.264 alpha=90.00 beta=90.00 gamma=90.00
Space group Amm2 (No. 38)
Asymmetric unit:
Pr: 0.000 0.000 0.000 [2 per cell]
Pr: 0.500 0.000 0.134 [2 per cell]
Cd: 0.204 0.000 0.707 [4 per cell]
Cd: 0.306 0.000 0.427 [4 per cell]
Pd: 0.500 0.000 0.844 [2 per cell]
Au: 0.000 0.000 0.293 [2 per cell]

Results
**Total DFT energy (no corrections)**: -25.85 eV per formula unit
**Crystal system**: orthorhombic
**DFT formation energy**: -535 meV per atom



8.
First-principles (PBE) data for crystalline SnB4Os at its relaxed geometry, as listed in OQMD via LeMat-Bulk.

Unit cell a=3.068 b=5.429 c=7.286 alpha=90.00 beta=90.00 gamma=90.00
Space group Immm (No. 71)
Asymmetric unit:
Sn: 0.000 0.000 0.000 [2 per cell]
B: 0.000 0.337 0.245 [8 per cell]
Os: 0.000 0.000 0.500 [2 per cell]

Results
**Polymorph energy (0 for the lowest one)**: 205 meV/atom
**Total DFT energy (no corrections)**: -37.80 eV per formula unit
**Crystal system**: orthorhombic



9.
First-principles (PBE) data for crystalline HoLuTa2Ge2 at its relaxed geometry, as listed in OQMD via LeMat-Bulk.

Unit cell a=4.012 b=4.012 c=7.728 alpha=90.00 beta=90.00 gamma=90.00
Space group P4mm (No. 99)
Asymmetric unit:
Ho: 0.000 0.000 0.000 [1 per cell]
Lu: 0.500 0.500 0.703 [1 per cell]
Ta: 0.000 0.500 0.354 [2 per cell]
Ge: 0.000 0.000 0.605 [1 per cell]
Ge: 0.500 0.500 0.104 [1 per cell]

Results
**Total DFT energy (no corrections)**: -45.57 eV per formula unit
**Crystal system**: tetragonal



10.
First-principles (PBE) data for crystalline Sn2PdAu at its relaxed geometry, as listed in OQMD via LeMat-Bulk.

Unit cell a=6.960 b=6.960 c=6.960 alpha=90.00 beta=90.00 gamma=90.00
Space group F-43m (No. 216)
Asymmetric unit:
Sn: 0.000 0.000 0.000 [4 per cell]
Sn: 0.250 0.250 0.250 [4 per cell]
Pd: 0.000 0.000 0.500 [4 per cell]
Au: 0.250 0.250 0.750 [4 per cell]

Results
**Total DFT energy (no corrections)**: -16.44 eV per formula unit
**Crystal system**: cubic



11.
First-principles (PBE) data for crystalline KOsSO at its relaxed geometry, as listed in OQMD via LeMat-Bulk.

Unit cell a=5.270 b=4.921 c=13.079 alpha=90.00 beta=98.47 gamma=90.00
Space group P2_1 (No. 4)
Asymmetric unit:
K: 0.140 0.000 0.148 [2 per cell]
K: 0.334 0.971 0.826 [2 per cell]
Os: 0.048 0.801 0.406 [2 per cell]
Os: 0.365 0.182 0.398 [2 per cell]
S: 0.214 0.520 0.282 [2 per cell]
S: 0.324 0.466 0.687 [2 per cell]
O: 0.091 0.416 0.465 [2 per cell]
O: 0.385 0.886 0.508 [2 per cell]

Results
**Polymorph energy (0 for the lowest one)**: 263 meV/atom
**Total DFT energy (no corrections)**: -23.16 eV per formula unit
**Crystal system**: monoclinic



12.
First-principles (PBE) data for crystalline Na3LiPr2O6 at its relaxed geometry, as listed in OQMD via LeMat-Bulk.

Unit cell a=5.894 b=10.383 c=5.777 alpha=90.00 beta=108.80 gamma=90.00
Space group C2/m (No. 12)
Asymmetric unit:
Na: 0.000 0.000 0.000 [2 per cell]
Na: 0.000 0.348 0.000 [4 per cell]
Li: 0.000 0.500 0.500 [2 per cell]
Pr: 0.000 0.166 0.500 [4 per cell]
O: 0.247 0.000 0.725 [4 per cell]
O: 0.248 0.333 0.738 [8 per cell]

Results
**Total DFT energy (no corrections)**: -68.60 eV per formula unit
**Crystal system**: monoclinic



13.
First-principles (PBE) data for crystalline CsLiZr at its relaxed geometry, as listed in OQMD via LeMat-Bulk.

Unit cell a=6.983 b=6.983 c=6.983 alpha=90.00 beta=90.00 gamma=90.00
Space group F-43m (No. 216)
Asymmetric unit:
Cs: 0.000 0.000 0.000 [4 per cell]
Li: 0.250 0.250 0.750 [4 per cell]
Zr: 0.250 0.250 0.250 [4 per cell]

Results
**Total DFT energy (no corrections)**: -6.22 eV per formula unit
**Crystal system**: cubic



14.
First-principles (PBE) data for crystalline Dy2Lu3Hg3 at its relaxed geometry, as listed in OQMD via LeMat-Bulk.

Unit cell a=6.545 b=5.340 c=6.559 alpha=90.00 beta=116.33 gamma=90.00
Space group Pm (No. 6)
Asymmetric unit:
Dy: 0.000 0.000 0.000 [1 per cell]
Dy: 0.292 0.500 0.690 [1 per cell]
Lu: 0.483 0.000 0.476 [1 per cell]
Lu: 0.787 0.500 0.187 [1 per cell]
Lu: 0.800 0.500 0.680 [1 per cell]
Hg: 0.297 0.500 0.190 [1 per cell]
Hg: 0.494 0.000 0.992 [1 per cell]
Hg: 0.974 0.000 0.501 [1 per cell]

Results
**Polymorph energy (0 for the lowest one)**: 0 meV/atom
**Total DFT energy (no corrections)**: -25.67 eV per formula unit
**Crystal system**: monoclinic
**DFT formation energy**: -250 meV per atom



15.
First-principles (PBE) data for crystalline ScHgPd2 at its relaxed geometry, as listed in OQMD via LeMat-Bulk.

Unit cell a=6.574 b=6.574 c=6.574 alpha=90.00 beta=90.00 gamma=90.00
Space group F-43m (No. 216)
Asymmetric unit:
Sc: 0.000 0.000 0.000 [4 per cell]
Hg: 0.250 0.250 0.750 [4 per cell]
Pd: 0.000 0.000 0.500 [4 per cell]
Pd: 0.250 0.250 0.250 [4 per cell]

Results
**Total DFT energy (no corrections)**: -19.10 eV per formula unit
**Crystal system**: cubic
**DFT formation energy**: -531 meV per atom



16.
First-principles (PBE) data for crystalline Ba2TeIr at its relaxed geometry, as listed in OQMD via LeMat-Bulk.

Unit cell a=4.774 b=8.833 c=6.552 alpha=90.00 beta=90.00 gamma=90.00
Space group Pmn2_1 (No. 31)
Asymmetric unit:
Ba: 0.000 0.047 0.000 [2 per cell]
Ba: 0.000 0.592 0.755 [2 per cell]
Te: 0.000 0.709 0.244 [2 per cell]
Ir: 0.000 0.235 0.572 [2 per cell]

Results
**Total DFT energy (no corrections)**: -18.21 eV per formula unit
**Crystal system**: orthorhombic



17.
First-principles (PBE) data for crystalline PmGa2Ag at its relaxed geometry, as listed in OQMD via LeMat-Bulk.

Unit cell a=4.670 b=10.552 c=6.675 alpha=90.00 beta=90.00 gamma=90.00
Space group Cmcm (No. 63)
Asymmetric unit:
Pm: 0.000 0.102 0.250 [4 per cell]
Ga: 0.000 0.383 0.053 [8 per cell]
Ag: 0.000 0.196 0.750 [4 per cell]

Results
**Total DFT energy (no corrections)**: -15.61 eV per formula unit
**Crystal system**: orthorhombic



18.
First-principles (PBE) data for crystalline TmHfAsO at its relaxed geometry, as listed in OQMD via LeMat-Bulk.

Unit cell a=5.073 b=4.062 c=7.448 alpha=90.00 beta=90.00 gamma=90.00
Space group Pmma (No. 51)
Asymmetric unit:
Tm: 0.250 0.000 0.140 [2 per cell]
Hf: 0.250 0.500 0.760 [2 per cell]
As: 0.250 0.500 0.391 [2 per cell]
O: 0.250 0.000 0.836 [2 per cell]

Results
**Polymorph energy (0 for the lowest one)**: 154 meV/atom
**Total DFT energy (no corrections)**: -31.04 eV per formula unit
**Crystal system**: orthorhombic



19.
First-principles (PBE) data for crystalline TmPb2S3 at its relaxed geometry, as listed in OQMD via LeMat-Bulk.

Unit cell a=3.9088 b=3.9088 c=11.5506 alpha=90.00 beta=90.00 gamma=120.00
Space group P-3m1 (No. 164)
Asymmetric unit:
Tm: 0.0000 0.0000 0.0000 [1 per cell]
Pb: 0.3333 0.6667 0.6647 [2 per cell]
S: 0.0000 0.0000 0.5000 [1 per cell]
S: 0.3333 0.6667 0.1286 [2 per cell]

Results
**Total DFT energy (no corrections)**: -30.61 eV per formula unit
**Crystal system**: trigonal



20.
First-principles (PBE) data for crystalline SrCoTeAu at its relaxed geometry, as listed in OQMD via LeMat-Bulk.

Unit cell a=7.287 b=7.287 c=7.287 alpha=90.00 beta=90.00 gamma=90.00
Space group F-43m (No. 216)
Asymmetric unit:
Sr: 0.000 0.000 0.000 [4 per cell]
Co: 0.250 0.250 0.250 [4 per cell]
Te: 0.250 0.250 0.750 [4 per cell]
Au: 0.000 0.000 0.500 [4 per cell]

Results
**Polymorph energy (0 for the lowest one)**: 230 meV/atom
**Total DFT energy (no corrections)**: -14.54 eV per formula unit
**Crystal system**: cubic



Theoretical density / g/cm3: 5.952; 8.802; 12.316; 9.207; 8.968; 10.157; 9.068; 9.636; 11.305; 10.654; 5.492; 4.503; 4.507; 11.733; 10.717; 7.145; 7.923; 9.484; 7.383; 8.087